Computed, not measured: a relaxed structure of Mg8Ag2Pb at the PBE level of DFT.

The value obtained for the formation energy is -0.06 eV per atom. The density of states at the Fermi level comes out at 7.02 states/eV/cell.

It has space group C2/m (No. 12), with a = 8.127 Å, b = 12.764 Å, c = 5.197 Å, α = 90.00°, β = 110.68° and γ = 90.00°. The distinct sites, in fractional coordinates, are Mg at (0.000, 0.237, 0.000), Mg at (0.100, 0.500, 0.803), Mg at (0.205, 0.122, 0.602), Ag at (0.000, 0.307, 0.500) and Pb at (0.000, 0.000, 0.000).